VASP calculation (PBE) on a relaxed Pm4Rh2Cl crystal.

Computed properties:
As for the electronic total energy: -0.4363 Ry/atom. Its volume is 26.9 Å³/atom. The calculation puts the uncorrected formation energy at -6.00 eV/f.u. The total magnetic moment is 0.0 Bohr magnetons per cell.

Cell: 8.854 8.854 9.597 Å, 90.00 90.00 90.00°
Space group I-42d (No. 122)
One atom of each set of equivalent atoms:
Pm: 0.056 0.697 0.403 x16
Rh: 0.093 0.750 0.125 x8
Cl: 0.000 0.000 0.500 x4

VASP calculation (PBE) on a relaxed KZrCuPb2 crystal.

Computed properties:
As for the electronic total energy: -0.2609 Ry/atom. Its volume is 31.2 Å³/atom. The energy of formation from the pure elements comes out at 0.682 eV per atom. The total magnetic moment is 1.7 Bohr magnetons per cell.

Cell: 5.338 5.338 5.483 Å, 90.00 90.00 90.00°
Space group P4/mmm (No. 123)
One atom of each set of equivalent atoms:
K: 0.000 0.000 0.000 x1
Zr: 0.500 0.500 0.000 x1
Cu: 0.000 0.000 0.500 x1
Pb: 0.000 0.500 0.500 x2

VASP calculation (PBE) on a relaxed K2TeRh crystal.

Computed properties:
As for the electronic total energy: -0.2331 Ry/atom. Its volume is 29.4 Å³/atom. The calculation puts the uncorrected formation energy at 0.00 eV/f.u. The total magnetic moment is 0.8 Bohr magnetons per cell.

Cell: 4.607 4.607 5.533 Å, 90.00 90.00 90.00°
Space group P4/mmm (No. 123)
One atom of each set of equivalent atoms:
K: 0.000 0.000 0.247 x2
Te: 0.500 0.500 0.500 x1
Rh: 0.500 0.500 0.000 x1

VASP calculation (PBE) on a relaxed Cu2Au4F crystal.

Computed properties:
As for the electronic total energy: -0.2174 Ry/atom. Its volume is 19.0 Å³/atom. The calculation puts the uncorrected formation energy at 2.47 eV/f.u. The total magnetic moment is 0.0 Bohr magnetons per cell.

Cell: 4.574 4.574 12.695 Å, 90.00 90.00 90.00°
Space group I4/mmm (No. 139)
One atom of each set of equivalent atoms:
Cu: 0.000 0.000 0.104 x4
Au: 0.000 0.000 0.297 x4
Au: 0.000 0.500 0.000 x4
F: 0.000 0.000 0.500 x2

VASP calculation (PBE) on a relaxed NaYInGa crystal.

Computed properties:
As for the electronic total energy: -0.2687 Ry/atom. Its volume is 24.4 Å³/atom. The energy of formation from the pure elements comes out at -0.268 eV per atom. The total magnetic moment is 0.0 Bohr magnetons per cell.

Cell: 7.305 7.305 7.305 Å, 90.00 90.00 90.00°
Space group F-43m (No. 216)
One atom of each set of equivalent atoms:
Na: 0.000 0.000 0.000 x4
Y: 0.000 0.000 0.500 x4
In: 0.250 0.250 0.250 x4
Ga: 0.250 0.250 0.750 x4

VASP calculation (PBE) on a relaxed MgCr2W crystal.

Computed properties:
As for the electronic total energy: -0.5808 Ry/atom. Its volume is 14.6 Å³/atom. The energy of formation from the pure elements comes out at 0.546 eV per atom. The total magnetic moment is 8.5 Bohr magnetons per cell.

Cell: 6.164 6.164 6.164 Å, 90.00 90.00 90.00°
Space group F-43m (No. 216)
One atom of each set of equivalent atoms:
Mg: 0.000 0.000 0.000 x4
Cr: 0.000 0.000 0.500 x4
Cr: 0.250 0.250 0.750 x4
W: 0.250 0.250 0.250 x4